1.
Material: ZrMnCl2
Method: DFT, PBE
State: relaxed

abc: 9.7363 9.7363 9.7363
angles: 19.16 19.16 19.16
Last column: nearest neighbours and their distance in Å.
Fractional positions:
Zr (0.0000, 0.0000, 0.0000)  6 Cl 2.64
Mn (0.5000, 0.5000, 0.5000)  2 Cl 2.91, 6 Mn 3.24
Cl (0.3985, 0.3985, 0.3985)  3 Zr 2.64, 1 Mn 2.91
Cl (0.6015, 0.6015, 0.6015)  3 Zr 2.64, 1 Mn 2.91

DOS at the Fermi energy (states/eV/f.u.): 2.3
ρ (Mg/m³): 4.15
Raw formation energy (meV per atom): -612
Total magnetization (Bohr magnetons per cell): 4.57
Volume (A^3/atom): 21.7
VASP energy (eV for the cell shown): -23.861
Energy above the lowest structure with this stoichiometry (kcal/mol of atoms): 5.16



2.
Material: ZrMnCl6
Method: DFT, PBE
State: relaxed

abc: 6.8515 6.8515 6.8515
angles: 55.97 55.97 55.97
Last column: nearest neighbours and their distance in Å.
Fractional positions:
Zr (0.0000, 0.0000, 0.0000)  6 Cl 2.50
Mn (0.5000, 0.5000, 0.5000)  6 Cl 2.54
Cl (0.1067, 0.7535, 0.3883)  1 Zr 2.50, 1 Mn 2.54
Cl (0.2465, 0.6117, 0.8933)  1 Zr 2.50, 1 Mn 2.54
Cl (0.3883, 0.1067, 0.7535)  1 Zr 2.50, 1 Mn 2.54
Cl (0.6117, 0.8933, 0.2465)  1 Zr 2.50, 1 Mn 2.54
Cl (0.7535, 0.3883, 0.1067)  1 Zr 2.50, 1 Mn 2.54
Cl (0.8933, 0.2465, 0.6117)  1 Zr 2.50, 1 Mn 2.54

DOS at the Fermi energy (states/eV/f.u.): 0.0
ρ (Mg/m³): 2.89
Raw formation energy (meV per atom): -1473
Total magnetization (Bohr magnetons per cell): 5.00
Volume (A^3/atom): 25.8
VASP energy (eV for the cell shown): -40.581
Energy above the lowest structure with this stoichiometry (kcal/mol of atoms): 0.26



3.
Material: ZrMnCl2
Method: DFT, PBE
State: relaxed

abc: 3.3797 3.3797 9.6880
angles: 90.00 90.00 124.99
Last column: nearest neighbours and their distance in Å.
Fractional positions:
Zr (0.0000, 0.0000, 0.0000)  4 Cl 2.59
Mn (0.0000, 0.0000, 0.5000)  6 Mn 3.12-3.38, 4 Cl 3.18
Cl (0.5000, 0.5000, 0.2136)  2 Zr 2.59
Cl (0.5000, 0.5000, 0.7864)  2 Zr 2.59

DOS at the Fermi energy (states/eV/f.u.): 2.4
ρ (Mg/m³): 3.98
Raw formation energy (meV per atom): -396
Total magnetization (Bohr magnetons per cell): 4.60
Volume (A^3/atom): 22.7
VASP energy (eV for the cell shown): -22.995
Energy above the lowest structure with this stoichiometry (kcal/mol of atoms): 10.15



4.
Material: Zr3MnCl
Method: DFT, PBE
State: relaxed

abc: 4.7264 4.7264 4.7264
angles: 90.00 90.00 90.00
Last column: nearest neighbours and their distance in Å.
Fractional positions:
Zr (0.0000, 0.0000, 0.5000)  2 Cl 2.36
Zr (0.0000, 0.5000, 0.0000)  2 Cl 2.36
Zr (0.5000, 0.0000, 0.0000)  2 Cl 2.36
Mn (0.5000, 0.5000, 0.5000)  12 Zr 3.34
Cl (0.0000, 0.0000, 0.0000)  6 Zr 2.36

DOS at the Fermi energy (states/eV/f.u.): 9.0
ρ (Mg/m³): 5.73
Raw formation energy (meV per atom): 468
Total magnetization (Bohr magnetons per cell): 0.28
Volume (A^3/atom): 21.1
VASP energy (eV for the cell shown): -34.320
Energy above the lowest structure with this stoichiometry (kcal/mol of atoms): 2.01



5.
Material: ZrMn2Cl
Method: DFT, PBE
State: relaxed

abc: 3.4685 3.4685 5.7066
angles: 90.00 90.00 90.00
Last column: nearest neighbours and their distance in Å.
Fractional positions:
Zr (0.0000, 0.0000, 0.0000)  8 Mn 2.78, 2 Cl 2.85
Mn (0.5000, 0.5000, 0.2296)  1 Mn 2.62, 4 Zr 2.78, 4 Cl 2.90
Mn (0.5000, 0.5000, 0.7704)  1 Mn 2.62, 4 Zr 2.78, 4 Cl 2.90
Cl (0.0000, 0.0000, 0.5000)  2 Zr 2.85, 8 Mn 2.90

DOS at the Fermi energy (states/eV/f.u.): 2.2
ρ (Mg/m³): 5.72
Raw formation energy (meV per atom): 139
Total magnetization (Bohr magnetons per cell): 5.31
Volume (A^3/atom): 17.2
VASP energy (eV for the cell shown): -28.176
Energy above the lowest structure with this stoichiometry (kcal/mol of atoms): 7.00



6.
Material: ZrMnCl2
Method: DFT, PBE
State: relaxed

abc: 3.1847 3.1847 8.6269
angles: 90.00 90.00 90.00
Last column: nearest neighbours and their distance in Å.
Fractional positions:
Zr (0.0000, 0.0000, 0.0000)  4 Cl 2.77, 4 Mn 3.05
Mn (0.5000, 0.5000, 0.7607)  4 Cl 2.64
Cl (0.0000, 0.0000, 0.6006)  4 Mn 2.64
Cl (0.5000, 0.5000, 0.1862)  4 Zr 2.77

DOS at the Fermi energy (states/eV/f.u.): 2.1
ρ (Mg/m³): 4.12
Raw formation energy (meV per atom): -711
Total magnetization (Bohr magnetons per cell): 4.05
Volume (A^3/atom): 21.9
VASP energy (eV for the cell shown): -24.256
Energy above the lowest structure with this stoichiometry (kcal/mol of atoms): 2.88



- Which of these has the highest total magnetization?
  ZrMn2Cl